(1)
# TiBiMoO6 (GGA+U, relaxed)
# mass density: 6.39 g/cm³
# V: 233.22 Å³/cell
# DFT total energy: -7.34 eV/atom
# magnetization: 2.0 Bohr magnetons per cell
data_TiBiMoO6
_cell_length_a 4.887
_cell_length_b 4.887
_cell_length_c 9.763
_cell_angle_alpha 90.00
_cell_angle_beta 90.00
_cell_angle_gamma 90.00
_space_group_name_H-M_alt 'P 42 n m'
_space_group_IT_number 102
loop_
_space_group_symop_operation_xyz
'x,y,z'
'-y+1/2,x+1/2,z+1/2'
'-x,-y,z'
'y+1/2,-x+1/2,z+1/2'
'-x+1/2,y+1/2,z+1/2'
'y,x,z'
'x+1/2,-y+1/2,z+1/2'
'-y,-x,z'
loop_
_atom_site_label
_atom_site_type_symbol
_atom_site_fract_x
_atom_site_fract_y
_atom_site_fract_z
_atom_site_occupancy
Ti1 Ti 0.000 0.000 0.000 1
Bi1 Bi 0.000 0.000 0.342 1
Mo1 Mo 0.000 0.000 0.672 1
O1 O 0.172 0.172 0.839 1
O2 O 0.218 0.218 0.521 1
O3 O 0.223 0.223 0.145 1

=====

(2)
# TlBiMo2O8 (GGA+U, relaxed)
# mass density: 6.31 g/cm³
# V: 771.30 Å³/cell
# DFT total energy: -6.48 eV/atom
# magnetization: 0.0 Bohr magnetons per cell
data_TlBiMo2O8
_cell_length_a 11.916
_cell_length_b 12.145
_cell_length_c 5.338
_cell_angle_alpha 90.00
_cell_angle_beta 93.09
_cell_angle_gamma 90.00
_space_group_name_H-M_alt 'P 1 21/c 1'
_space_group_IT_number 14
loop_
_space_group_symop_operation_xyz
'x,y,z'
'-x,-y,-z'
'-x,y+1/2,-z+1/2'
'x,-y+1/2,z+1/2'
loop_
_atom_site_label
_atom_site_type_symbol
_atom_site_fract_x
_atom_site_fract_y
_atom_site_fract_z
_atom_site_occupancy
Tl1 Tl 0.123 0.122 0.474 1
Bi1 Bi 0.381 0.624 0.988 1
Mo1 Mo 0.158 0.649 0.488 1
Mo2 Mo 0.387 0.115 0.973 1
O1 O 0.067 0.729 0.673 1
O2 O 0.079 0.551 0.313 1
O3 O 0.233 0.563 0.730 1
O4 O 0.279 0.197 0.081 1
O5 O 0.281 0.708 0.312 1
O6 O 0.322 0.028 0.730 1
O7 O 0.452 0.039 0.243 1
O8 O 0.497 0.200 0.843 1

=====

(3)
# Tl2Bi2MoO6 (GGA+U, relaxed)
# mass density: 8.20 g/cm³
# V: 412.75 Å³/cell
# DFT total energy: -5.59 eV/atom
# magnetization: 4.0 Bohr magnetons per cell
data_Tl2Bi2MoO6
_cell_length_a 6.078
_cell_length_b 10.400
_cell_length_c 6.803
_cell_angle_alpha 90.00
_cell_angle_beta 106.29
_cell_angle_gamma 90.00
_space_group_name_H-M_alt 'C 1 2/m 1'
_space_group_IT_number 12
loop_
_space_group_symop_operation_xyz
'x,y,z'
'-x,-y,-z'
'-x,y,-z'
'x,-y,z'
'x+1/2,y+1/2,z'
'-x+1/2,-y+1/2,-z'
'-x+1/2,y+1/2,-z'
'x+1/2,-y+1/2,z'
loop_
_atom_site_label
_atom_site_type_symbol
_atom_site_fract_x
_atom_site_fract_y
_atom_site_fract_z
_atom_site_occupancy
Tl1 Tl 0.000 0.163 0.000 1
Bi1 Bi 0.000 0.336 0.500 1
Mo1 Mo 0.000 0.000 0.500 1
O1 O 0.200 0.147 0.668 1
O2 O 0.244 0.000 0.318 1

=====

(4)
# TlBiMo2O8 (GGA+U, relaxed)
# mass density: 5.22 g/cm³
# V: 700.01 Å³/cell
# DFT total energy: -6.45 eV/atom
# magnetization: 0.0 Bohr magnetons per cell
data_TlBiMo2O8
_cell_length_a 5.5865
_cell_length_b 5.5865
_cell_length_c 25.8999
_cell_angle_alpha 90.00
_cell_angle_beta 90.00
_cell_angle_gamma 120.00
_space_group_name_H-M_alt 'R 3 2'
_space_group_IT_number 155
_space_group_name_Hall 'R 3 2"'
loop_
_atom_site_label
_atom_site_type_symbol
_atom_site_fract_x
_atom_site_fract_y
_atom_site_fract_z
_atom_site_occupancy
Tl1 Tl 0.0000 0.0000 0.0000 1
Bi1 Bi 0.0000 0.0000 0.5000 1
Mo1 Mo 0.0000 0.0000 0.2469 1
O1 O 0.0000 0.0000 0.3149 1
O2 O 0.0132 0.3755 0.8907 1

=====

(5)
# Tl2BiMoO6 (GGA+U, relaxed)
# mass density: 7.91 g/cm³
# V: 1019.46 Å³/cell
# DFT total energy: -5.60 eV/atom
# magnetization: 0.0 Bohr magnetons per cell
data_Tl2BiMoO6
_cell_length_a 6.2834
_cell_length_b 6.2834
_cell_length_c 29.8164
_cell_angle_alpha 90.00
_cell_angle_beta 90.00
_cell_angle_gamma 120.00
_space_group_name_H-M_alt 'R -3 m'
_space_group_IT_number 166
_space_group_name_Hall '-R 3 2"'
loop_
_atom_site_label
_atom_site_type_symbol
_atom_site_fract_x
_atom_site_fract_y
_atom_site_fract_z
_atom_site_occupancy
Tl1 Tl 0.0000 0.0000 0.1293 1
Tl2 Tl 0.0000 0.0000 0.2637 1
Bi1 Bi 0.0000 0.0000 0.3994 1
Mo1 Mo 0.0000 0.0000 0.0000 1
Mo2 Mo 0.0000 0.0000 0.5000 1
O1 O 0.0458 0.5229 0.7053 1
O2 O 0.0505 0.5253 0.1258 1

=====

(6)
# Tl2BiMoO8 (GGA+U, relaxed)
# mass density: 8.00 g/cm³
# V: 349.20 Å³/cell
# DFT total energy: -5.60 eV/atom
# magnetization: 0.0 Bohr magnetons per cell
data_Tl2BiMoO8
_cell_length_a 7.052
_cell_length_b 7.358
_cell_length_c 6.729
_cell_angle_alpha 90.00
_cell_angle_beta 90.00
_cell_angle_gamma 90.00
_space_group_name_H-M_alt 'C m m m'
_space_group_IT_number 65
_space_group_name_Hall '-C 2 2'
loop_
_atom_site_label
_atom_site_type_symbol
_atom_site_fract_x
_atom_site_fract_y
_atom_site_fract_z
_atom_site_occupancy
Tl1 Tl 0.000 0.000 0.242 1
Bi1 Bi 0.000 0.500 0.500 1
Mo1 Mo 0.000 0.500 0.000 1
O1 O 0.000 0.323 0.216 1
O2 O 0.194 0.000 0.500 1
O3 O 0.219 0.000 0.000 1

=====

What did the fourth record say?
# TlBiMo2O8 (GGA+U, relaxed)
# mass density: 5.22 g/cm³
# V: 700.01 Å³/cell
# DFT total energy: -6.45 eV/atom
# magnetization: 0.0 Bohr magnetons per cell
data_TlBiMo2O8
_cell_length_a 5.5865
_cell_length_b 5.5865
_cell_length_c 25.8999
_cell_angle_alpha 90.00
_cell_angle_beta 90.00
_cell_angle_gamma 120.00
_space_group_name_H-M_alt 'R 3 2'
_space_group_IT_number 155
_space_group_name_Hall 'R 3 2"'
loop_
_atom_site_label
_atom_site_type_symbol
_atom_site_fract_x
_atom_site_fract_y
_atom_site_fract_z
_atom_site_occupancy
Tl1 Tl 0.0000 0.0000 0.0000 1
Bi1 Bi 0.0000 0.0000 0.5000 1
Mo1 Mo 0.0000 0.0000 0.2469 1
O1 O 0.0000 0.0000 0.3149 1
O2 O 0.0132 0.3755 0.8907 1

=====

Which of these has the highest mass density?
Tl2Bi2MoO6